V2HgC after structural relaxation, computed with PBE.

```
V2HgC
1.0
-3.8265 -0.1854 1.8262
-3.1750 2.3973 -1.4778
-3.2455 -1.8070 -2.0525
V C Hg
2 1 1
Direct
0.7500 0.7500 0.7500
0.2500 0.2500 0.2500
0.0000 0.0000 0.0000
0.5000 0.5000 0.5000
```

Summary:
* energy: -22.71 eV for the cell shown
* magnetization: 0.36 μB per cell
* energy of formation: 1.26 eV/atom
* symmetry: Fm-3m, No. 225
* crystal system: cubic


SmGa3Pt2 after structural relaxation, computed with PBE.

```
SmGa3Pt2
1.0
4.1623 0.0000 0.0000
-2.0811 8.0472 -2.3741
0.0000 0.2602 9.9929
Ga Pt Sm
9 6 3
Direct
0.2192 0.4384 0.3784
0.3666 0.7333 0.8107
0.5000 0.0000 0.5000
0.6334 0.2667 0.1893
0.9546 0.9092 0.6388
0.7808 0.5616 0.6216
0.3445 0.6890 0.0570
0.6555 0.3110 0.9430
0.0454 0.0908 0.3612
0.4840 0.9679 0.2239
0.5160 0.0321 0.7761
0.7955 0.5909 0.8902
0.6431 0.2863 0.4488
0.2045 0.4091 0.1098
0.3569 0.7137 0.5512
0.0000 0.0000 0.0000
0.8466 0.6932 0.2982
0.1534 0.3068 0.7018
```

Summary:
* energy: -92.81 eV for the cell shown
* magnetization: 0.00 μB per cell
* energy of formation: -0.84 eV/atom
* symmetry: C2/m, No. 12
* crystal system: monoclinic


Si2Tc2Ir after structural relaxation, computed with PBE.

```
Si2Tc2Ir
1.0
3.9908 0.0000 0.0000
0.0000 3.9908 0.0000
1.9954 1.9954 4.8088
Si Tc Ir
2 2 1
Direct
0.6138 0.6138 0.7724
0.3862 0.3862 0.2276
0.7500 0.2500 0.5000
0.2500 0.7500 0.5000
0.0000 0.0000 0.0000
```

Summary:
* energy: -39.11 eV for the cell shown
* magnetization: 0.00 μB per cell
* symmetry: I4/mmm, No. 139
* excess energy over the best structure of this formula in the dataset: 497.3 meV/atom
* crystal system: tetragonal


Ba2PaPt4 after structural relaxation, computed with PBE.

```
Ba2PaPt4
1.0
4.7200 0.0000 -1.5046
-0.4796 4.6956 -1.5046
0.0485 0.0538 8.3080
Pt Ba Pa
4 2 1
Direct
0.5953 0.0953 0.1906
0.4047 0.9047 0.8094
0.0953 0.5953 0.1906
0.9047 0.4047 0.8094
0.7261 0.7261 0.4521
0.2739 0.2739 0.5479
0.0000 0.0000 0.0000
```

Summary:
* energy: -41.23 eV for the cell shown
* magnetization: 0.00 μB per cell
* energy of formation: -0.53 eV/atom
* symmetry: I4/mmm, No. 139
* crystal system: tetragonal


DyYTlNi after structural relaxation, computed with PBE.

```
DyYTlNi
1.0
5.1187 0.0000 0.0000
2.5594 4.4330 0.0000
2.5594 1.4777 4.1794
Tl Y Ni Dy
1 1 1 1
Direct
0.7500 0.7500 0.7500
0.0000 0.0000 0.0000
0.2500 0.2500 0.2500
0.5000 0.5000 0.5000
```

Summary:
* energy: -20.25 eV for the cell shown
* magnetization: 0.00 μB per cell
* energy of formation: -0.26 eV/atom
* symmetry: F-43m, No. 216
* crystal system: cubic


Y2FeN after structural relaxation, computed with PBE.

```
Y2FeN
1.0
-0.9161 -1.0830 6.4175
-6.1613 -1.9434 -1.2075
-2.2605 -5.2836 2.1512
Y N Fe
4 2 2
Direct
0.2003 0.6250 0.2500
0.8750 0.7997 0.7500
0.3750 0.4503 0.7500
0.5497 0.1250 0.2500
0.2500 0.7500 0.5000
0.5000 0.5000 0.0000
0.0000 0.0000 0.0000
0.7500 0.2500 0.5000
```

Summary:
* energy: -61.32 eV for the cell shown
* magnetization: 5.26 μB per cell
* symmetry: I-42d, No. 122
* excess energy over the best structure of this formula in the dataset: 8.8 meV/atom
* crystal system: tetragonal


Zr2Mo2Au after structural relaxation, computed with PBE.

```
Zr2Mo2Au
1.0
-2.2898 2.3942 1.3759
-2.3334 -2.6334 0.6992
1.0065 -1.1277 8.3138
Mo Zr Au
2 2 1
Direct
0.7500 0.2500 0.5000
0.2500 0.7500 0.5000
0.3965 0.3965 0.2071
0.6035 0.6035 0.7929
0.0000 0.0000 0.0000
```

Summary:
* energy: -40.79 eV for the cell shown
* magnetization: 0.00 μB per cell
* energy of formation: 0.25 eV/atom
* symmetry: I4/mmm, No. 139
* excess energy over the best structure of this formula in the dataset: 0.0 meV/atom
* crystal system: tetragonal


ReAsW2 after structural relaxation, computed with PBE.

```
ReAsW2
1.0
-1.4494 2.7610 2.2552
-3.3238 -1.9268 0.2229
0.6847 -4.0237 8.6495
W Re As
4 2 2
Direct
0.8750 0.8563 0.7500
0.1437 0.6250 0.2500
0.3750 0.3937 0.7500
0.6063 0.1250 0.2500
0.7500 0.2500 0.5000
0.0000 0.0000 0.0000
0.5000 0.5000 0.0000
0.2500 0.7500 0.5000
```

Summary:
* energy: -79.09 eV for the cell shown
* magnetization: 0.00 μB per cell
* energy of formation: 0.86 eV/atom
* symmetry: I-42d, No. 122
* crystal system: tetragonal


ErSn4Pd7 after structural relaxation, computed with PBE.

```
ErSn4Pd7
1.0
-1.4586 -4.2051 -2.2559
0.3405 -6.2651 5.9395
-6.1067 -1.0708 0.4256
Sn Pd Er
4 7 1
Direct
0.5902 0.2232 0.5963
0.4098 0.7768 0.4037
0.7356 0.6666 0.8622
0.2644 0.3334 0.1378
0.3586 0.5385 0.7443
0.7816 0.9031 0.5337
0.6414 0.4615 0.2557
0.2184 0.0969 0.4663
0.0694 0.6687 0.1926
0.9306 0.3313 0.8074
0.5000 0.0000 0.0000
0.0000 0.0000 0.0000
```

Summary:
* energy: -62.76 eV for the cell shown
* magnetization: 0.00 μB per cell
* energy of formation: -0.49 eV/atom
* symmetry: C2/m, No. 12
* crystal system: monoclinic


ZrGaCu after structural relaxation, computed with PBE.

```
ZrGaCu
1.0
4.2556 0.0000 0.0000
-2.1278 3.6855 0.0000
0.0000 0.0000 6.4370
Cu Ga Zr
2 2 2
Direct
0.3333 0.6667 0.2500
0.6667 0.3333 0.7500
0.3333 0.6667 0.7500
0.6667 0.3333 0.2500
0.0000 0.0000 0.0000
0.0000 0.0000 0.5000
```

Summary:
* energy: -33.98 eV for the cell shown
* magnetization: 0.00 μB per cell
* energy of formation: -0.44 eV/atom
* symmetry: P6_3/mmc, No. 194
* crystal system: hexagonal


ZrP2Rh after structural relaxation, computed with PBE.

```
ZrP2Rh
1.0
4.5185 -0.0158 -0.0047
-0.0019 4.5185 0.0047
-1.7198 -2.7915 3.1092
P Zr Rh
2 1 1
Direct
0.9562 0.9562 0.0000
0.5438 0.5438 0.0000
0.2500 0.7500 0.5000
0.7500 0.2500 0.5000
```

Summary:
* energy: -29.40 eV for the cell shown
* magnetization: 0.00 μB per cell
* energy of formation: -0.67 eV/atom
* symmetry: Immm, No. 71
* excess energy over the best structure of this formula in the dataset: 166.6 meV/atom
* crystal system: orthorhombic


MnV2Pd8 after structural relaxation, computed with PBE.

```
MnV2Pd8
1.0
3.9550 0.0000 0.0000
0.0000 6.2027 0.3384
-1.9775 -2.3371 6.5730
Pd V Mn
8 2 1
Direct
0.4007 0.5424 0.8013
0.8555 0.7999 0.7111
0.0453 0.7307 0.0905
0.3192 0.0837 0.6384
0.1445 0.2001 0.2889
0.5993 0.4576 0.1987
0.6808 0.9163 0.3616
0.9547 0.2693 0.9095
0.2236 0.6475 0.4472
0.7764 0.3525 0.5528
0.5000 0.0000 0.0000
```

Summary:
* energy: -71.45 eV for the cell shown
* magnetization: 1.46 μB per cell
* energy of formation: -0.23 eV/atom
* symmetry: C2/m, No. 12
* excess energy over the best structure of this formula in the dataset: 0.0 meV/atom
* crystal system: monoclinic